# Nd2ZnSi | Alexandria via LeMat-Bulk | PBE | optimized geometry
# - DOS(E_F) (states/eV per cell) = 2.068
# - energy relative to the elements, uncorrected (eV per atom) = -0.430
# - final energy (eV per cell) = -17.95
data_Nd2ZnSi
_chemical_formula_sum 'Nd2 Zn1 Si1'
_cell_length_a 5.0455
_cell_length_b 5.0455
_cell_length_c 3.8191
_cell_angle_alpha 90.00
_cell_angle_beta 90.00
_cell_angle_gamma 90.00
_space_group_name_H-M_alt 'P 4/m m m'
_space_group_IT_number 123
_space_group_name_Hall '-P 4 2'
loop_
_atom_site_label
_atom_site_fract_x
_atom_site_fract_y
_atom_site_fract_z
Nd1 0.0000 0.5000 0.0000
Zn1 0.0000 0.0000 0.5000
Si1 0.5000 0.5000 0.5000

***

# NdZnSi2 | Alexandria via LeMat-Bulk | PBE | optimized geometry
# - DOS(E_F) (states/eV per cell) = 7.651
# - energy relative to the elements, uncorrected (eV per atom) = 0.005
# - final energy (eV per cell) = -50.61
data_NdZnSi2
_chemical_formula_sum 'Nd3 Zn3 Si6'
_cell_length_a 5.1904
_cell_length_b 5.1904
_cell_length_c 10.7411
_cell_angle_alpha 90.00
_cell_angle_beta 90.00
_cell_angle_gamma 120.00
_space_group_name_H-M_alt 'R -3 m'
_space_group_IT_number 166
_space_group_name_Hall '-R 3 2"'
loop_
_atom_site_label
_atom_site_fract_x
_atom_site_fract_y
_atom_site_fract_z
Nd1 0.0000 0.0000 0.0000
Zn1 0.0000 0.0000 0.5000
Si1 0.0000 0.0000 0.2748

***

# NdZnSi2 | Alexandria via LeMat-Bulk | PBE | optimized geometry
# - DOS(E_F) (states/eV per cell) = 4.145
# - energy relative to the elements, uncorrected (eV per atom) = -0.191
# - final energy (eV per cell) = -35.31
data_NdZnSi2
_chemical_formula_sum 'Nd2 Zn2 Si4'
_cell_length_a 5.0834
_cell_length_b 8.3949
_cell_length_c 3.9967
_cell_angle_alpha 90.00
_cell_angle_beta 90.00
_cell_angle_gamma 90.00
_space_group_name_H-M_alt 'C m m m'
_space_group_IT_number 65
_space_group_name_Hall '-C 2 2'
loop_
_atom_site_label
_atom_site_fract_x
_atom_site_fract_y
_atom_site_fract_z
Nd1 0.0000 0.0000 0.0000
Zn1 0.0000 0.5000 0.5000
Si1 0.2500 0.2500 0.5000

***

# NdZn2Si2 | Alexandria via LeMat-Bulk | PBE | optimized geometry
# - DOS(E_F) (states/eV per cell) = 3.651
# - energy relative to the elements, uncorrected (eV per atom) = -0.385
# - final energy (eV per cell) = -40.18
data_NdZn2Si2
_chemical_formula_sum 'Nd2 Zn4 Si4'
_cell_length_a 4.1317
_cell_length_b 4.1317
_cell_length_c 10.7509
_cell_angle_alpha 90.00
_cell_angle_beta 90.00
_cell_angle_gamma 90.00
_space_group_name_H-M_alt 'I 4/m m m'
_space_group_IT_number 139
_space_group_name_Hall '-I 4 2'
loop_
_atom_site_label
_atom_site_fract_x
_atom_site_fract_y
_atom_site_fract_z
Nd1 0.0000 0.0000 0.0000
Zn1 0.0000 0.5000 0.2500
Si1 0.0000 0.0000 0.3884

***

# Nd3Zn3Si2 | Alexandria via LeMat-Bulk | PBE | optimized geometry
# - DOS(E_F) (states/eV per cell) = 21.952
# - energy relative to the elements, uncorrected (eV per atom) = -0.525
# - final energy (eV per cell) = -132.69
data_Nd3Zn3Si2
_chemical_formula_sum 'Nd12 Zn12 Si8'
_cell_length_a 4.1605
_cell_length_b 11.2696
_cell_length_c 15.6208
_cell_angle_alpha 90.00
_cell_angle_beta 90.00
_cell_angle_gamma 90.00
_space_group_name_H-M_alt 'C m c m'
_space_group_IT_number 63
_space_group_name_Hall '-C 2c 2'
loop_
_atom_site_label
_atom_site_fract_x
_atom_site_fract_y
_atom_site_fract_z
Nd1 0.0000 0.0645 0.2500
Nd2 0.0000 0.3542 0.0908
Zn1 0.0000 0.0759 0.0546
Zn2 0.0000 0.2128 0.7500
Si1 0.0000 0.3478 0.6166

***

# Nd2ZnSi | Alexandria via LeMat-Bulk | PBE | optimized geometry
# - DOS(E_F) (states/eV per cell) = 9.337
# - energy relative to the elements, uncorrected (eV per atom) = -0.508
# - final energy (eV per cell) = -36.53
data_Nd2ZnSi
_chemical_formula_sum 'Nd4 Zn2 Si2'
_cell_length_a 6.0399
_cell_length_b 4.1251
_cell_length_c 8.6146
_cell_angle_alpha 90.00
_cell_angle_beta 109.91
_cell_angle_gamma 90.00
_space_group_name_H-M_alt 'P 1 21/m 1'
_space_group_IT_number 11
_space_group_name_Hall '-P 2yb'
loop_
_atom_site_label
_atom_site_fract_x
_atom_site_fract_y
_atom_site_fract_z
Nd1 0.2136 0.2500 0.4209
Nd2 0.2860 0.7500 0.0638
Zn1 0.1612 0.2500 0.7777
Si1 0.3586 0.7500 0.7087

***

# Nd2Zn3Si | Alexandria via LeMat-Bulk | PBE | optimized geometry
# - DOS(E_F) (states/eV per cell) = 35.580
# - energy relative to the elements, uncorrected (eV per atom) = -0.486
# - final energy (eV per cell) = -173.60
data_Nd2Zn3Si
_chemical_formula_sum 'Nd16 Zn24 Si8'
_cell_length_a 7.6779
_cell_length_b 8.8336
_cell_length_c 15.2424
_cell_angle_alpha 90.00
_cell_angle_beta 90.00
_cell_angle_gamma 90.00
_space_group_name_H-M_alt 'F m m m'
_space_group_IT_number 69
_space_group_name_Hall '-F 2 2'
loop_
_atom_site_label
_atom_site_fract_x
_atom_site_fract_y
_atom_site_fract_z
Nd1 0.2440 0.0000 0.0000
Nd2 0.2500 0.2500 0.2500
Zn1 0.0000 0.0000 0.1687
Zn2 0.0000 0.2458 0.4164
Si1 0.0000 0.0000 0.3342

***

# Nd2ZnSi | Alexandria via LeMat-Bulk | PBE | optimized geometry
# - DOS(E_F) (states/eV per cell) = 15.192
# - energy relative to the elements, uncorrected (eV per atom) = 0.026
# - final energy (eV per cell) = -48.39
data_Nd2ZnSi
_chemical_formula_sum 'Nd6 Zn3 Si3'
_cell_length_a 4.1972
_cell_length_b 4.1972
_cell_length_c 28.5151
_cell_angle_alpha 90.00
_cell_angle_beta 90.00
_cell_angle_gamma 120.00
_space_group_name_H-M_alt 'R -3 m'
_space_group_IT_number 166
_space_group_name_Hall '-R 3 2"'
loop_
_atom_site_label
_atom_site_fract_x
_atom_site_fract_y
_atom_site_fract_z
Nd1 0.0000 0.0000 0.1114
Zn1 0.0000 0.0000 0.0000
Si1 0.0000 0.0000 0.5000

***

# NdZrSi2 | Alexandria via LeMat-Bulk | PBE | optimized geometry
# - DOS(E_F) (states/eV per cell) = 7.339
# - energy relative to the elements, uncorrected (eV per atom) = -0.570
# - final energy (eV per cell) = -79.32
data_NdZrSi2
_chemical_formula_sum 'Nd3 Zr3 Si6'
_cell_length_a 3.9808
_cell_length_b 3.9808
_cell_length_c 20.1812
_cell_angle_alpha 90.00
_cell_angle_beta 90.00
_cell_angle_gamma 120.00
_space_group_name_H-M_alt 'R -3 m'
_space_group_IT_number 166
_space_group_name_Hall '-R 3 2"'
loop_
_atom_site_label
_atom_site_fract_x
_atom_site_fract_y
_atom_site_fract_z
Nd1 0.0000 0.0000 0.0000
Zr1 0.0000 0.0000 0.5000
Si1 0.0000 0.0000 0.2400

***

# Nd8Sm3 | Alexandria via LeMat-Bulk | PBE | optimized geometry
# - DOS(E_F) (states/eV per cell) = 34.466
# - formation energy from the elements (eV/atom) = 0.0129
# - final energy (eV per cell) = -104.32
data_Nd8Sm3
_chemical_formula_sum 'Nd16 Sm6'
_cell_length_a 11.6389
_cell_length_b 5.1750
_cell_length_c 13.2292
_cell_angle_alpha 90.00
_cell_angle_beta 105.12
_cell_angle_gamma 90.00
_space_group_name_H-M_alt 'C 1 2/m 1'
_space_group_IT_number 12
_space_group_name_Hall '-C 2y'
loop_
_atom_site_label
_atom_site_fract_x
_atom_site_fract_y
_atom_site_fract_z
Nd1 0.0455 0.0000 0.3181
Nd2 0.1363 0.0000 0.9546
Nd3 0.1817 0.5000 0.7727
Nd4 0.2275 0.0000 0.5911
Sm1 0.0000 0.5000 0.5000
Sm2 0.0907 0.5000 0.1358

***

# Nd13Sm3 | Alexandria via LeMat-Bulk | PBE | optimized geometry
# - DOS(E_F) (states/eV per cell) = 52.069
# - formation energy from the elements (eV/atom) = 0.0133
# - final energy (eV per cell) = -151.85
data_Nd13Sm3
_chemical_formula_sum 'Nd26 Sm6'
_cell_length_a 10.3771
_cell_length_b 10.3858
_cell_length_c 10.3871
_cell_angle_alpha 90.00
_cell_angle_beta 90.00
_cell_angle_gamma 90.00
_space_group_name_H-M_alt 'A m m 2'
_space_group_IT_number 38
_space_group_name_Hall 'A 2 -2'
loop_
_atom_site_label
_atom_site_fract_x
_atom_site_fract_y
_atom_site_fract_z
Nd1 0.0000 0.0000 0.0000
Nd2 0.0000 0.0000 0.4991
Nd3 0.0000 0.2496 0.2496
Nd4 0.2504 0.2496 0.9996
Nd5 0.2510 0.0000 0.7499
Nd6 0.5000 0.0000 0.4985
Nd7 0.5000 0.2489 0.2495
Sm1 0.2499 0.0000 0.2492
Sm2 0.5000 0.0000 0.0005

***

# Nd4Sm | Alexandria via LeMat-Bulk | PBE | optimized geometry
# - DOS(E_F) (states/eV per cell) = 15.103
# - formation energy from the elements (eV/atom) = 0.0151
# - final energy (eV per cell) = -47.43
data_Nd4Sm
_chemical_formula_sum 'Nd8 Sm2'
_cell_length_a 3.6740
_cell_length_b 3.6740
_cell_length_c 25.9813
_cell_angle_alpha 90.00
_cell_angle_beta 90.00
_cell_angle_gamma 90.00
_space_group_name_H-M_alt 'I 4/m m m'
_space_group_IT_number 139
_space_group_name_Hall '-I 4 2'
loop_
_atom_site_label
_atom_site_fract_x
_atom_site_fract_y
_atom_site_fract_z
Nd1 0.0000 0.0000 0.0992
Nd2 0.0000 0.0000 0.3003
Sm1 0.0000 0.0000 0.5000